1.
# GGA-PBE UNiPH, optimized geometry
data_UNiPH
_cell_length_a 3.936
_cell_length_b 3.936
_cell_length_c 3.810
_cell_angle_alpha 90.00
_cell_angle_beta 90.00
_cell_angle_gamma 120.00
_space_group_name_H-M_alt 'P 1'
_space_group_IT_number 1
loop_
_space_group_symop_operation_xyz
'x,y,z'
loop_
_atom_site_label
_atom_site_fract_x
_atom_site_fract_y
_atom_site_fract_z
U1 0.000 0.000 0.000
Ni1 0.667 0.333 0.500
P1 0.333 0.667 0.500
H1 0.667 0.333 0.000
# SG = P-6m2
# total energy = -7.1954 eV/atom

2.
# GGA-PBE Ca3ZnO4, optimized geometry
data_Ca3ZnO4
_cell_length_a 3.370
_cell_length_b 3.370
_cell_length_c 9.337
_cell_angle_alpha 90.00
_cell_angle_beta 90.00
_cell_angle_gamma 90.00
_space_group_name_H-M_alt 'P 1'
_space_group_IT_number 1
loop_
_space_group_symop_operation_xyz
'x,y,z'
loop_
_atom_site_label
_atom_site_fract_x
_atom_site_fract_y
_atom_site_fract_z
Ca1 0.000 0.000 0.000
Ca2 0.500 0.500 0.263
Ca3 0.500 0.500 0.737
Zn1 0.000 0.000 0.500
O1 0.000 0.000 0.265
O2 0.000 0.000 0.735
O3 0.500 0.500 0.000
O4 0.500 0.500 0.500
# formation energy (no corrections) = -2.500 eV/atom
# SG = P4/mmm

3.
# GGA-PBE RbNa2GeSe4, optimized geometry
data_RbNa2GeSe4
_cell_length_a 6.953
_cell_length_b 6.953
_cell_length_c 6.953
_cell_angle_alpha 113.59
_cell_angle_beta 113.59
_cell_angle_gamma 101.51
_space_group_name_H-M_alt 'P 1'
_space_group_IT_number 1
loop_
_space_group_symop_operation_xyz
'x,y,z'
loop_
_atom_site_label
_atom_site_fract_x
_atom_site_fract_y
_atom_site_fract_z
Rb1 0.000 0.000 0.000
Na1 0.250 0.750 0.500
Na2 0.750 0.250 0.500
Ge1 0.500 0.500 0.000
Se1 0.167 0.167 0.632
Se2 0.466 0.833 0.000
Se3 0.534 0.534 0.368
Se4 0.833 0.466 0.000
# formation energy (no corrections) = -0.737 eV/atom
# SG = I-42m

4.
# GGA-PBE ZnSiTe2, optimized geometry
data_ZnSiTe2
_cell_length_a 3.873
_cell_length_b 3.886
_cell_length_c 7.921
_cell_angle_alpha 90.00
_cell_angle_beta 90.00
_cell_angle_gamma 90.00
_space_group_name_H-M_alt 'P 1'
_space_group_IT_number 1
loop_
_space_group_symop_operation_xyz
'x,y,z'
loop_
_atom_site_label
_atom_site_fract_x
_atom_site_fract_y
_atom_site_fract_z
Zn1 0.000 0.000 0.000
Si1 0.500 0.000 0.500
Te1 0.000 0.500 0.500
Te2 0.500 0.500 0.000
# formation energy (no corrections) = 0.310 eV/atom
# SG = Pmmm
# excess energy over the best structure of this formula in the dataset = 315 meV per atom

5.
# GGA-PBE NaTi2CoSe, optimized geometry
data_NaTi2CoSe
_cell_length_a 4.751
_cell_length_b 4.751
_cell_length_c 4.682
_cell_angle_alpha 90.00
_cell_angle_beta 90.00
_cell_angle_gamma 90.00
_space_group_name_H-M_alt 'P 1'
_space_group_IT_number 1
loop_
_space_group_symop_operation_xyz
'x,y,z'
loop_
_atom_site_label
_atom_site_fract_x
_atom_site_fract_y
_atom_site_fract_z
Na1 0.000 0.000 0.000
Ti1 0.000 0.500 0.000
Ti2 0.500 0.000 0.000
Co1 0.500 0.500 0.500
Se1 0.000 0.000 0.500
# formation energy (no corrections) = 1.633 eV/atom
# SG = P4/mmm

6.
# GGA-PBE BaCo2, optimized geometry
data_BaCo2
_cell_length_a 3.571
_cell_length_b 7.318
_cell_length_c 5.912
_cell_angle_alpha 90.00
_cell_angle_beta 90.00
_cell_angle_gamma 90.00
_space_group_name_H-M_alt 'P 1'
_space_group_IT_number 1
loop_
_space_group_symop_operation_xyz
'x,y,z'
loop_
_atom_site_label
_atom_site_fract_x
_atom_site_fract_y
_atom_site_fract_z
Ba1 0.000 0.000 0.000
Ba2 0.500 0.500 0.500
Co1 0.250 0.086 0.500
Co2 0.250 0.586 0.000
Co3 0.750 0.414 0.000
Co4 0.750 0.914 0.500
# ΔE_f = 0.86 eV per atom
# SG = Pnnm

7.
# GGA-PBE Er8CoAg2, optimized geometry
data_Er8CoAg2
_cell_length_a 8.938
_cell_length_b 8.938
_cell_length_c 6.723
_cell_angle_alpha 107.51
_cell_angle_beta 107.51
_cell_angle_gamma 33.71
_space_group_name_H-M_alt 'P 1'
_space_group_IT_number 1
loop_
_space_group_symop_operation_xyz
'x,y,z'
loop_
_atom_site_label
_atom_site_fract_x
_atom_site_fract_y
_atom_site_fract_z
Er1 0.026 0.026 0.291
Er2 0.200 0.200 0.803
Er3 0.344 0.344 0.536
Er4 0.411 0.411 0.077
Er5 0.589 0.589 0.923
Er6 0.656 0.656 0.464
Er7 0.800 0.800 0.197
Er8 0.974 0.974 0.709
Co1 0.500 0.500 0.500
Ag1 0.183 0.183 0.214
Ag2 0.817 0.817 0.786
# ΔE_f = -0.14 eV per atom
# SG = C2/m
# excess energy over the best structure of this formula in the dataset = 0 meV per atom

8.
# GGA-PBE LaSiW3, optimized geometry
data_LaSiW3
_cell_length_a 4.867
_cell_length_b 4.867
_cell_length_c 4.867
_cell_angle_alpha 90.00
_cell_angle_beta 90.00
_cell_angle_gamma 90.00
_space_group_name_H-M_alt 'P 1'
_space_group_IT_number 1
loop_
_space_group_symop_operation_xyz
'x,y,z'
loop_
_atom_site_label
_atom_site_fract_x
_atom_site_fract_y
_atom_site_fract_z
La1 0.000 0.000 0.000
Si1 0.500 0.500 0.500
W1 0.000 0.000 0.500
W2 0.000 0.500 0.000
W3 0.500 0.000 0.000
# formation energy (no corrections) = 3.183 eV/atom
# SG = Pm-3m
# excess energy over the best structure of this formula in the dataset = 2177 meV per atom

9.
# GGA-PBE ReTcH2, optimized geometry
data_ReTcH2
_cell_length_a 3.727
_cell_length_b 3.727
_cell_length_c 3.727
_cell_angle_alpha 60.00
_cell_angle_beta 60.00
_cell_angle_gamma 60.00
_space_group_name_H-M_alt 'P 1'
_space_group_IT_number 1
loop_
_space_group_symop_operation_xyz
'x,y,z'
loop_
_atom_site_label
_atom_site_fract_x
_atom_site_fract_y
_atom_site_fract_z
Re1 0.000 0.000 0.000
Tc1 0.500 0.500 0.500
H1 0.250 0.250 0.250
H2 0.750 0.750 0.750
# SG = Fm-3m
# excess energy over the best structure of this formula in the dataset = 710 meV per atom

10.
# GGA-PBE KHgCl2F, optimized geometry
data_KHgCl2F
_cell_length_a 5.362
_cell_length_b 5.362
_cell_length_c 4.563
_cell_angle_alpha 90.00
_cell_angle_beta 90.00
_cell_angle_gamma 90.00
_space_group_name_H-M_alt 'P 1'
_space_group_IT_number 1
loop_
_space_group_symop_operation_xyz
'x,y,z'
loop_
_atom_site_label
_atom_site_fract_x
_atom_site_fract_y
_atom_site_fract_z
K1 0.000 0.000 0.000
Hg1 0.500 0.500 0.500
Cl1 0.000 0.500 0.500
Cl2 0.500 0.000 0.500
F1 0.500 0.500 0.000
# formation energy (no corrections) = -1.378 eV/atom
# SG = P4/mmm
# excess energy over the best structure of this formula in the dataset = 44 meV per atom